Hf5Al3N: optimized geometry, PBE.

Summary:
* theoretical density: 10.20 g/cm³
* symmetry: P6_3/mcm, No. 193
* E: -8.378 eV per atom
* Fermi-level density of states: 12.504 states/eV per cell

abc: 8.089 8.089 5.671
angles: 90.00 90.00 120.00
Sites, in units of the cell vectors:
Hf (0.000, 0.224, 0.250)
Hf (0.000, 0.776, 0.750)
Hf (0.224, 0.000, 0.250)
Hf (0.224, 0.224, 0.750)
Hf (0.333, 0.667, 0.000)
Hf (0.333, 0.667, 0.500)
Hf (0.667, 0.333, 0.000)
Hf (0.667, 0.333, 0.500)
Hf (0.776, 0.000, 0.750)
Hf (0.776, 0.776, 0.250)
Al (0.000, 0.404, 0.750)
Al (0.000, 0.596, 0.250)
Al (0.404, 0.000, 0.750)
Al (0.404, 0.404, 0.250)
Al (0.596, 0.000, 0.250)
Al (0.596, 0.596, 0.750)
N (0.000, 0.000, 0.000)
N (0.000, 0.000, 0.500)

---

HfAl3N: optimized geometry, PBE.

Summary:
* theoretical density: 3.10 g/cm³
* symmetry: Pm-3m, No. 221
* E: -3.726 eV per atom
* energy relative to the lowest polymorph listed for this composition: 2153.5 meV/atom
* Fermi-level density of states: 6.057 states/eV per cell

abc: 5.269 5.269 5.269
angles: 90.00 90.00 90.00
Sites, in units of the cell vectors:
Hf (0.000, 0.000, 0.000)
Al (0.000, 0.000, 0.500)
Al (0.000, 0.500, 0.000)
Al (0.500, 0.000, 0.000)
N (0.500, 0.500, 0.500)

---

Hf4Al2N: optimized geometry, PBE.

Summary:
* theoretical density: 9.74 g/cm³
* symmetry: I4/mmm, No. 139
* E: -8.513 eV per atom
* energy relative to the lowest polymorph listed for this composition: 0.0 meV/atom
* Fermi-level density of states: 4.743 states/eV per cell

abc: 7.953 7.953 7.953
angles: 148.97 148.97 44.45
Sites, in units of the cell vectors:
Hf (0.000, 0.500, 0.500)
Hf (0.161, 0.161, 0.000)
Hf (0.500, 0.000, 0.500)
Hf (0.839, 0.839, 0.000)
Al (0.358, 0.358, 0.000)
Al (0.642, 0.642, 0.000)
N (0.000, 0.000, 0.000)

---

Hf4AlN2: optimized geometry, PBE.

Summary:
* theoretical density: 11.92 g/cm³
* symmetry: Cmcm, No. 63
* E: -9.733 eV per atom
* Fermi-level density of states: 6.417 states/eV per cell

abc: 5.818 5.818 11.561
angles: 90.00 90.00 146.81
Sites, in units of the cell vectors:
Hf (0.000, 0.000, 0.000)
Hf (0.000, 0.000, 0.500)
Hf (0.262, 0.738, 0.605)
Hf (0.262, 0.738, 0.895)
Hf (0.415, 0.585, 0.250)
Hf (0.585, 0.415, 0.750)
Hf (0.738, 0.262, 0.105)
Hf (0.738, 0.262, 0.395)
Al (0.108, 0.892, 0.250)
Al (0.892, 0.108, 0.750)
N (0.366, 0.634, 0.061)
N (0.366, 0.634, 0.439)
N (0.634, 0.366, 0.561)
N (0.634, 0.366, 0.939)

---

Hf3AlN2: optimized geometry, PBE.

Summary:
* theoretical density: 10.51 g/cm³
* symmetry: P6_3/mcm, No. 193
* E: -9.202 eV per atom
* Fermi-level density of states: 9.176 states/eV per cell

abc: 5.977 5.977 6.032
angles: 90.00 90.00 120.00
Sites, in units of the cell vectors:
Hf (0.000, 0.492, 0.250)
Hf (0.000, 0.508, 0.750)
Hf (0.492, 0.000, 0.250)
Hf (0.492, 0.492, 0.750)
Hf (0.508, 0.000, 0.750)
Hf (0.508, 0.508, 0.250)
Al (0.000, 0.000, 0.250)
Al (0.000, 0.000, 0.750)
N (0.333, 0.667, 0.000)
N (0.333, 0.667, 0.500)
N (0.667, 0.333, 0.000)
N (0.667, 0.333, 0.500)

---

Hf3Al2N: optimized geometry, PBE.

Summary:
* theoretical density: 10.23 g/cm³
* symmetry: P4_132, No. 213
* E: -8.447 eV per atom
* Fermi-level density of states: 17.680 states/eV per cell

abc: 7.317 7.317 7.317
angles: 90.00 90.00 90.00
Sites, in units of the cell vectors:
Hf (0.043, 0.125, 0.793)
Hf (0.125, 0.793, 0.043)
Hf (0.207, 0.543, 0.375)
Hf (0.293, 0.457, 0.875)
Hf (0.375, 0.207, 0.543)
Hf (0.457, 0.875, 0.293)
Hf (0.543, 0.375, 0.207)
Hf (0.625, 0.707, 0.957)
Hf (0.707, 0.957, 0.625)
Hf (0.793, 0.043, 0.125)
Hf (0.875, 0.293, 0.457)
Hf (0.957, 0.625, 0.707)
Al (0.071, 0.929, 0.429)
Al (0.179, 0.179, 0.179)
Al (0.321, 0.821, 0.679)
Al (0.429, 0.071, 0.929)
Al (0.571, 0.571, 0.571)
Al (0.679, 0.321, 0.821)
Al (0.821, 0.679, 0.321)
Al (0.929, 0.429, 0.071)
N (0.125, 0.375, 0.625)
N (0.375, 0.625, 0.125)
N (0.625, 0.125, 0.375)
N (0.875, 0.875, 0.875)

---

Hf4Al2N: optimized geometry, PBE.

Summary:
* theoretical density: 9.42 g/cm³
* symmetry: P2/m, No. 10
* E: -8.297 eV per atom
* energy relative to the lowest polymorph listed for this composition: 215.3 meV/atom
* Fermi-level density of states: 4.411 states/eV per cell

abc: 6.027 3.101 7.458
angles: 90.00 98.53 90.00
Sites, in units of the cell vectors:
Hf (0.069, 0.000, 0.318)
Hf (0.246, 0.500, 0.002)
Hf (0.754, 0.500, 0.998)
Hf (0.931, 0.000, 0.682)
Al (0.454, 0.000, 0.712)
Al (0.546, 0.000, 0.288)
N (0.000, 0.500, 0.500)

---

Hf4AlN: optimized geometry, PBE.

Summary:
* theoretical density: 11.34 g/cm³
* symmetry: P2_1/c, No. 14
* E: -9.149 eV per atom
* Fermi-level density of states: 6.254 states/eV per cell

abc: 6.015 6.186 5.972
angles: 90.00 95.65 90.00
Sites, in units of the cell vectors:
Hf (0.105, 0.167, 0.179)
Hf (0.105, 0.333, 0.679)
Hf (0.323, 0.629, 0.089)
Hf (0.323, 0.871, 0.589)
Hf (0.677, 0.129, 0.411)
Hf (0.677, 0.371, 0.911)
Hf (0.895, 0.667, 0.321)
Hf (0.895, 0.833, 0.821)
Al (0.500, 0.000, 0.000)
Al (0.500, 0.500, 0.500)
N (0.000, 0.000, 0.500)
N (0.000, 0.500, 0.000)